! RbTe3As (PBE, optimized geometry); values from VASP
! total magnetic moment	0.0	μB per cell
! energy relative to the lowest polymorph listed for this composition	1.680	eV per atom
! E_form (uncorrected)	1.404	eV per atom
! raw total energy	-1.6041	eV/atom
&SYSTEM
  ibrav = 0, nat = 5, ntyp = 3
/
ATOMIC_SPECIES
As 74.92 As.upf
Te 127.60 Te.upf
Rb 85.47 Rb.upf
ATOMIC_POSITIONS angstrom
As -0.792 3.308 4.122
Te 0.695 -0.621 2.942
Te 1.248 2.806 0.298
Te -2.735 1.123 0.883
Rb 0.000 0.000 0.000
CELL_PARAMETERS angstrom
-5.470 2.246 1.766
1.390 -1.242 5.883
2.496 5.612 0.595